# Ce2SeCl

A relaxed Ce2SeCl crystal (PBE, the Alexandria database).

Calculated values
Energy relative to the lowest polymorph listed for this composition   8.6 kJ/mol of atoms
Raw formation energy   -1.517 eV/atom
Magnetization   2.69 Bohr magnetons per cell

POSCAR file:
```
Ce2SeCl
1.0
1.979 1.142 7.587
-1.979 1.142 7.587
0.000 -2.285 7.587
Ce Se Cl
2 1 1
Direct
0.000 0.000 0.000
0.176 0.176 0.176
0.588 0.588 0.588
0.420 0.420 0.420
```

# Ce2SeCl

A relaxed Ce2SeCl crystal (PBE, the Alexandria database).

Calculated values
Energy relative to the lowest polymorph listed for this composition   26.1 kJ/mol of atoms
Raw formation energy   -1.335 eV/atom
Magnetization   3.01 Bohr magnetons per cell

POSCAR file:
```
Ce2SeCl
1.0
3.628 0.000 0.000
0.000 3.628 0.000
0.000 0.000 7.157
Ce Se Cl
2 1 1
Direct
0.000 0.000 0.242
0.000 0.000 0.758
0.500 0.500 0.000
0.500 0.500 0.500
```

# CeSeCl

A relaxed CeSeCl crystal (PBE, the Alexandria database).

Calculated values
Raw formation energy   -1.734 eV/atom
Magnetization   0.88 Bohr magnetons per cell

POSCAR file:
```
CeSeCl
1.0
-1.814 1.814 6.421
1.814 -1.814 6.421
1.814 1.814 -6.421
Ce Se Cl
1 1 1
Direct
0.000 0.000 0.000
0.384 0.384 0.000
0.635 0.635 0.000
```